i:
# In2Pd8Se

A geometry-optimized In2Pd8Se structure (PBE-GGA, the Alexandria database).

## Properties
space group = P4/mmm (123)

Cell: 4.067 4.067 11.131 Å, 90.00 90.00 90.00°
Atoms (fractional coordinates):
Pd  0.000  0.500  0.361
Pd  0.500  0.000  0.361
Pd  0.000  0.000  0.180
Pd  0.000  0.500  0.639
Pd  0.000  0.500  0.000
Pd  0.500  0.000  0.000
Pd  0.500  0.000  0.639
Pd  0.000  0.000  0.820
In  0.500  0.500  0.178
In  0.500  0.500  0.822
Se  0.000  0.000  0.500



ii:
# In2Pd8Se

A geometry-optimized In2Pd8Se structure (PBE-GGA, the Alexandria database).

## Properties
space group = C2/m (12)

Cell: 4.640 5.778 7.862 Å, 111.50 107.16 90.00°
Atoms (fractional coordinates):
In  0.183  0.683  0.366
In  0.817  0.317  0.634
Pd  0.361  0.119  0.722
Pd  0.639  0.881  0.278
Pd  0.186  0.186  0.372
Pd  0.361  0.603  0.723
Pd  0.000  0.249  0.000
Pd  0.814  0.814  0.628
Pd  0.000  0.751  0.000
Pd  0.639  0.397  0.277
Se  0.500  0.000  0.000



Verdict on stability: ii comes out at the bottom.



i:
# In3PdSe

A geometry-optimized In3PdSe structure (PBE-GGA, the Alexandria database).

## Properties
space group = Pm-3m (221)

Cell: 5.181 5.181 5.181 Å, 90.00 90.00 90.00°
Atoms (fractional coordinates):
In  0.500  0.000  0.000
In  0.000  0.500  0.000
In  0.000  0.000  0.500
Pd  0.000  0.000  0.000
Se  0.500  0.500  0.500



ii:
# In3PdSe

A geometry-optimized In3PdSe structure (PBE-GGA, the Alexandria database).

## Properties
space group = Pm-3m (221)

Cell: 5.398 5.398 5.398 Å, 90.00 90.00 90.00°
Atoms (fractional coordinates):
In  0.000  0.000  0.500
In  0.000  0.500  0.000
In  0.500  0.000  0.000
Se  0.000  0.000  0.000
Pd  0.500  0.500  0.500



Verdict on stability: ii comes out at the bottom.



i:
# InSiPd3

A geometry-optimized InSiPd3 structure (PBE-GGA, the Alexandria database).

## Properties
space group = Pm-3m (221)

Cell: 4.914 4.914 4.914 Å, 90.00 90.00 90.00°
Atoms (fractional coordinates):
Pd  0.000  0.000  0.500
Pd  0.500  0.000  0.000
Pd  0.000  0.500  0.000
Si  0.500  0.500  0.500
In  0.000  0.000  0.000



ii:
# InSiPd3

A geometry-optimized InSiPd3 structure (PBE-GGA, the Alexandria database).

## Properties
space group = Cmmm (65)

Cell: 3.007 7.960 7.961 Å, 66.80 90.00 90.00°
Atoms (fractional coordinates):
Pd  0.863  0.585  0.076
Pd  0.863  0.803  0.417
Pd  0.363  0.013  0.066
Pd  0.863  0.365  0.856
Pd  0.363  0.375  0.427
Pd  0.863  0.023  0.637
In  0.863  0.194  0.246
In  0.363  0.694  0.746
Si  0.363  0.194  0.746
Si  0.363  0.694  0.246



Verdict on stability: i comes out at the bottom.



i:
# InSi2Pd8

A geometry-optimized InSi2Pd8 structure (PBE-GGA, the Alexandria database).

## Properties
space group = C2/m (12)

Cell: 4.489 6.587 6.587 Å, 111.58 98.73 98.73°
Atoms (fractional coordinates):
Si  0.000  0.320  0.680
Si  0.000  0.680  0.320
Pd  0.911  0.673  0.931
Pd  0.689  0.386  0.386
Pd  0.089  0.069  0.327
Pd  0.500  0.246  0.754
Pd  0.089  0.327  0.069
Pd  0.311  0.614  0.614
Pd  0.500  0.754  0.246
Pd  0.911  0.931  0.673
In  0.500  0.000  0.000



ii:
# InSi2Pd8

A geometry-optimized InSi2Pd8 structure (PBE-GGA, the Alexandria database).

## Properties
space group = Immm (71)

Cell: 3.912 7.045 7.395 Å, 118.45 105.34 90.00°
Atoms (fractional coordinates):
Si  0.822  0.322  0.643
Si  0.178  0.678  0.357
Pd  0.000  0.693  0.000
Pd  0.666  0.453  0.333
Pd  0.151  0.151  0.302
Pd  0.849  0.849  0.698
Pd  0.334  0.547  0.667
Pd  0.666  0.879  0.333
Pd  0.334  0.121  0.667
Pd  0.000  0.307  0.000
In  0.500  0.000  0.000



Verdict on stability: ii comes out at the bottom.



i:
# In3SiPd

A geometry-optimized In3SiPd structure (PBE-GGA, the Alexandria database).

## Properties
space group = Pm-3m (221)

Cell: 5.130 5.130 5.130 Å, 90.00 90.00 90.00°
Atoms (fractional coordinates):
Si  0.500  0.500  0.500
In  0.500  0.000  0.000
In  0.000  0.000  0.500
In  0.000  0.500  0.000
Pd  0.000  0.000  0.000



ii:
# In3SiPd

A geometry-optimized In3SiPd structure (PBE-GGA, the Alexandria database).

## Properties
space group = Pm-3m (221)

Cell: 5.129 5.129 5.129 Å, 90.00 90.00 90.00°
Atoms (fractional coordinates):
Si  0.000  0.000  0.000
In  0.500  0.000  0.000
In  0.000  0.500  0.000
In  0.000  0.000  0.500
Pd  0.500  0.500  0.500



Verdict on stability: ii comes out at the bottom.



i:
# InSiPd4

A geometry-optimized InSiPd4 structure (PBE-GGA, the Alexandria database).

## Properties
space group = Pnma (62)

Cell: 3.441 6.930 16.185 Å, 90.00 90.00 90.00°
Atoms (fractional coordinates):
In  0.250  0.755  0.310
In  0.750  0.245  0.690
In  0.750  0.745  0.810
In  0.250  0.255  0.190
Pd  0.250  0.628  0.146
Pd  0.250  0.060  0.797
Pd  0.750  0.996  0.935
Pd  0.750  0.872  0.646
Pd  0.250  0.004  0.065
Pd  0.750  0.865  0.455
Pd  0.250  0.560  0.703
Pd  0.250  0.128  0.354
Pd  0.250  0.635  0.955
Pd  0.750  0.940  0.203
Pd  0.750  0.496  0.565
Pd  0.750  0.440  0.297
Pd  0.250  0.504  0.435
Pd  0.750  0.365  0.045
Pd  0.750  0.372  0.854
Pd  0.250  0.135  0.545
Si  0.750  0.252  0.445
Si  0.250  0.248  0.945
Si  0.250  0.748  0.555
Si  0.750  0.752  0.055



ii:
# InSiPd4

A geometry-optimized InSiPd4 structure (PBE-GGA, the Alexandria database).

## Properties
space group = C2/m (12)

Cell: 6.802 5.600 6.848 Å, 108.62 119.78 90.01°
Atoms (fractional coordinates):
Pd  0.799  0.000  0.500
Pd  0.972  0.755  0.995
Pd  0.028  0.245  0.005
Pd  0.198  0.500  0.500
Pd  0.524  0.755  0.995
Pd  0.201  0.000  0.500
Pd  0.476  0.245  0.005
Pd  0.802  0.500  0.500
Si  0.143  0.872  0.787
Si  0.857  0.128  0.213
In  0.397  0.666  0.293
In  0.603  0.334  0.707



Verdict on stability: ii comes out at the bottom.